# In2BPPt6

A geometry-optimized In2BPPt6 structure (PBE, Alexandria).

Computed properties:
E_tot: -57.65 eV/cell
Formation energy from the elements: -0.38 eV/atom
SG: No. 8
D(E_F): 2.29 states/eV/f.u.

Unit cell a=5.5530 b=5.5530 c=6.9110 alpha=113.61 beta=113.61 gamma=89.81
Positions (direct):
In 0.2485 0.7515 0.0000
In 0.7515 0.2485 0.0000
B 0.9721 0.9721 0.4360
P 0.4539 0.4539 0.4044
Pt 0.2551 0.2551 0.0083
Pt 0.3072 0.3072 0.6175
Pt 0.3068 0.8143 0.6167
Pt 0.7878 0.7878 0.0772
Pt 0.8124 0.8124 0.6125
Pt 0.8143 0.3068 0.6167